First-principles (PBE-GGA) data for a relaxed structure of LiGdTlIr, as listed in Alexandria.

Output
Mass density   11.70 Mg/m³
Calculated formation energy   -0.339 eV/atom
Size of the total moment   7.528 μB per formula unit
D(E_F)   0.8977 states/eV/atom
Calculated volume   79.6 Å³/f.u.

Cell: 6.8284 6.8284 6.8284 Å, 90.00 90.00 90.00°
Space group F-43m (No. 216)
One atom of each set of equivalent atoms:
1 Li 0.0000 0.0000 0.0000 [4 per cell]
2 Gd 0.2500 0.2500 0.7500 [4 per cell]
3 Tl 0.2500 0.2500 0.2500 [4 per cell]
4 Ir 0.0000 0.0000 0.5000 [4 per cell]